Here is an optimized crystal structure of CsMoRu2 from the Alexandria database. Energies are from PBE-GGA.

Cell and atoms, written as POSCAR:
```
CsMoRu2
1.0
0.000 3.333 3.333
3.333 0.000 3.333
3.333 3.333 0.000
Ru Cs Mo
2 1 1
Cartesian
4.999 4.999 4.999
1.666 1.666 1.666
3.333 3.333 3.333
0.000 0.000 0.000
```

As for the space-group type: Fm-3m (225). Its total DFT energy (no corrections) is -23.30 eV per cell. Its volume is 74.05 Å³/cell. The calculation puts the formation energy at 167.3 kJ/mol of atoms. Its density is 9665 kg/m³.